Record 1
Compound: TlHW2
Source: Alexandria
Functional: PBE-GGA
Structure: optimized geometry

Structure (POSCAR):
```
TlHW2
1.0
-2.998 -3.789 2.168
-1.057 -1.922 -4.820
1.659 -5.608 -1.037
Tl H W
2 2 4
Cartesian
-1.683 -6.126 -0.097
0.000 0.000 0.000
-0.713 -5.192 -3.591
-2.028 -2.855 -1.326
-2.039 -8.722 -1.893
-0.842 -3.063 -0.049
-0.540 -6.827 -2.977
-1.370 -4.023 -2.459
```

Calculated values
The total energy is -6.9298 eV/atom. The crystal system is tetragonal.

Record 2
Compound: SrAs2Pt
Source: Alexandria
Functional: PBE-GGA
Structure: optimized geometry

Structure (POSCAR):
```
SrAs2Pt
1.0
7.634 0.000 0.000
0.000 7.634 0.000
3.817 3.817 3.369
Sr Pt As
2 2 4
Cartesian
3.817 7.634 1.685
3.817 3.817 0.000
7.634 3.817 1.685
0.000 0.000 0.000
1.272 5.726 0.842
6.362 1.909 0.842
5.726 5.089 2.527
9.543 10.179 2.527
```

Calculated values
The total energy is -4.8916 eV/atom. The crystal system is tetragonal.

Record 3
Compound: RbHg3Pd
Source: Alexandria
Functional: PBE-GGA
Structure: optimized geometry

Structure (POSCAR):
```
RbHg3Pd
1.0
-8.541 8.619 -13.985
-1.880 0.321 -8.644
-0.496 -3.616 8.065
Hg Rb Pd
6 2 2
Cartesian
-5.329 2.011 -4.112
-5.588 3.313 -10.453
-4.171 1.755 -7.407
-6.747 3.569 -7.157
-2.609 -1.206 3.028
-8.309 6.531 -17.593
-1.332 -2.669 6.109
-9.586 7.993 -20.673
-6.302 4.494 -14.238
-4.615 0.830 -0.327
```

Calculated values
The total energy is -1.5420 eV/atom. The crystal system is monoclinic.

Record 4
Compound: CaMg9Ni3
Source: Alexandria
Functional: PBE-GGA
Structure: optimized geometry

Structure (POSCAR):
```
CaMg9Ni3
1.0
5.076 -0.071 2.060
2.365 6.539 0.960
-0.112 -0.035 7.558
Ni Mg Ca
3 9 1
Cartesian
2.482 -0.053 4.809
3.720 3.234 1.510
-0.056 -0.018 3.779
3.118 1.360 7.133
4.135 2.035 4.408
2.020 1.395 2.555
4.211 5.073 3.445
6.479 4.363 5.359
3.194 4.398 6.170
1.182 3.270 0.480
0.850 2.070 5.218
5.309 5.038 8.023
0.000 0.000 0.000
```

Calculated values
The total energy is -2.6870 eV/atom. The crystal system is monoclinic.

Record 5
Compound: Tb6Nd12In
Source: Alexandria
Functional: PBE-GGA
Structure: optimized geometry

Structure (POSCAR):
```
Tb6Nd12In
1.0
8.586 0.718 0.860
-0.592 8.596 0.860
-0.592 -0.689 8.611
Nd In Tb
12 1 6
Cartesian
2.924 6.682 5.675
2.996 0.274 1.885
4.479 1.943 4.657
7.586 7.306 7.041
-0.183 1.318 3.291
1.242 3.739 5.478
1.331 3.235 0.607
3.896 3.555 7.588
3.507 5.070 2.744
6.161 4.886 4.854
6.072 5.390 9.726
4.407 8.351 8.447
0.000 0.000 0.000
0.277 6.019 2.904
1.495 5.980 8.646
5.684 8.081 3.891
1.719 0.544 6.441
5.908 2.645 1.687
7.125 2.605 7.428
```

Calculated values
The total energy is -4.5570 eV/atom. The crystal system is trigonal.

Record 6
Compound: Ac2InBi3Rh4
Source: Alexandria
Functional: PBE-GGA
Structure: optimized geometry

Structure (POSCAR):
```
Ac2InBi3Rh4
1.0
-3.629 2.959 -0.281
-2.283 -2.492 3.253
4.477 6.243 7.923
Rh In Bi Ac
4 1 3 2
Cartesian
-2.956 0.233 1.486
1.006 5.413 4.852
0.000 0.000 0.000
0.514 1.063 4.557
-0.718 3.355 5.448
-0.570 -0.449 2.637
2.091 6.926 6.772
2.238 3.122 3.961
2.227 3.452 7.589
-0.707 3.024 1.820
```

Calculated values
The total energy is -5.7421 eV/atom. The crystal system is tetragonal.

Record 7
Compound: TlNiAg2
Source: Alexandria
Functional: PBE-GGA
Structure: optimized geometry

Structure (POSCAR):
```
TlNiAg2
1.0
-2.062 -4.416 0.096
0.955 -4.747 0.566
-0.866 -0.663 5.102
Ag Tl Ni
2 1 1
Cartesian
-1.490 -7.470 4.315
-0.851 -0.690 4.986
-0.505 -2.367 1.581
-0.980 -4.875 2.866
```

Calculated values
The total energy is -3.1873 eV/atom. The crystal system is monoclinic.

Record 8
Compound: Tb2ErI
Source: Alexandria
Functional: PBE-GGA
Structure: optimized geometry

Structure (POSCAR):
```
Tb2ErI
1.0
-3.081 -0.490 2.048
-1.016 -3.434 1.050
4.295 -0.306 9.788
Tb I Er
2 1 1
Cartesian
-0.020 -1.070 3.115
0.218 -3.161 9.772
0.000 0.000 0.000
0.099 -2.115 6.443
```

Calculated values
The total energy is -4.1864 eV/atom. The crystal system is trigonal.